Computed, not measured: a relaxed HRhS2 crystal at the GGA-PBE level of DFT.

Output
The value obtained for the density of states at the Fermi level is 1.83 states/eV/f.u. As for the total magnetization: 0.0 Bohr magnetons per cell. The total energy is -4.8457 eV/atom. As for the space group: C2/c. The calculation puts the energy above the lowest structure with this stoichiometry at 22.8 kJ/mol of atoms.

```
data_HRhS2
_chemical_formula_sum 'H8 Rh8 S16'
_cell_length_a 6.467
_cell_length_b 6.467
_cell_length_c 11.486
_cell_angle_alpha 95.90
_cell_angle_beta 95.90
_cell_angle_gamma 82.72
_symmetry_space_group_name_H-M 'P 1'
_symmetry_Int_Tables_number 1
loop_
_symmetry_equiv_pos_as_xyz
'x,y,z'
loop_
_atom_site_label
_atom_site_fract_x
_atom_site_fract_y
_atom_site_fract_z
H1 0.033 0.741 0.732
H2 0.211 0.478 0.655
H3 0.259 0.967 0.768
H4 0.478 0.211 0.155
H5 0.522 0.789 0.845
H6 0.741 0.033 0.232
H7 0.789 0.522 0.345
H8 0.967 0.259 0.268
Rh1 0.107 0.821 0.397
Rh2 0.179 0.893 0.103
Rh3 0.343 0.347 0.892
Rh4 0.347 0.343 0.392
Rh5 0.653 0.657 0.608
Rh6 0.657 0.653 0.108
Rh7 0.821 0.107 0.897
Rh8 0.893 0.179 0.603
S1 0.038 0.962 0.750
S2 0.077 0.439 0.735
S3 0.111 0.224 0.009
S4 0.224 0.111 0.509
S5 0.306 0.622 0.530
S6 0.368 0.632 0.250
S7 0.378 0.694 0.970
S8 0.439 0.077 0.235
S9 0.561 0.923 0.765
S10 0.622 0.306 0.030
S11 0.632 0.368 0.750
S12 0.694 0.378 0.470
S13 0.776 0.889 0.491
S14 0.889 0.776 0.991
S15 0.923 0.561 0.265
S16 0.962 0.038 0.250
```

---

Computed, not measured: a relaxed Mg2Zn2Ga crystal at the GGA-PBE level of DFT.

Output
The value obtained for the density of states at the Fermi level is 1.94 states/eV/f.u. As for the calculated formation energy: 14.4 kJ per mole of atoms. As for the total magnetization: 0.0 Bohr magnetons per cell. The total energy is -1.6032 eV/atom. As for the space group: I4/mmm.

```
data_Mg2Zn2Ga
_chemical_formula_sum 'Mg4 Zn4 Ga2'
_cell_length_a 4.080
_cell_length_b 4.080
_cell_length_c 12.417
_cell_angle_alpha 90.00
_cell_angle_beta 90.00
_cell_angle_gamma 90.00
_symmetry_space_group_name_H-M 'P 1'
_symmetry_Int_Tables_number 1
loop_
_symmetry_equiv_pos_as_xyz
'x,y,z'
loop_
_atom_site_label
_atom_site_fract_x
_atom_site_fract_y
_atom_site_fract_z
Mg1 0.000 0.500 0.250
Mg2 0.000 0.500 0.750
Mg3 0.500 0.000 0.250
Mg4 0.500 0.000 0.750
Zn1 0.000 0.000 0.097
Zn2 0.000 0.000 0.903
Zn3 0.500 0.500 0.403
Zn4 0.500 0.500 0.597
Ga1 0.000 0.000 0.500
Ga2 0.500 0.500 0.000
```

---

Computed, not measured: a relaxed RhSeCl2 crystal at the GGA-PBE level of DFT.

Output
The value obtained for the density of states at the Fermi level is 4.09 states/eV/f.u. As for the total magnetization: 1.2 Bohr magnetons per cell. The total energy is -2.8796 eV/atom. Its raw formation energy is 0.753 eV/atom. As for the space group: Fm-3m. The calculation puts the energy above the lowest structure with this stoichiometry at 108.0 kJ/mol of atoms.

```
data_RhSeCl2
_chemical_formula_sum 'Rh4 Se4 Cl8'
_cell_length_a 6.615
_cell_length_b 6.615
_cell_length_c 6.615
_cell_angle_alpha 90.00
_cell_angle_beta 90.00
_cell_angle_gamma 90.00
_symmetry_space_group_name_H-M 'P 1'
_symmetry_Int_Tables_number 1
loop_
_symmetry_equiv_pos_as_xyz
'x,y,z'
loop_
_atom_site_label
_atom_site_fract_x
_atom_site_fract_y
_atom_site_fract_z
Rh1 0.000 0.000 0.000
Rh2 0.000 0.500 0.500
Rh3 0.500 0.000 0.500
Rh4 0.500 0.500 0.000
Se1 0.000 0.000 0.500
Se2 0.000 0.500 0.000
Se3 0.500 0.000 0.000
Se4 0.500 0.500 0.500
Cl1 0.250 0.250 0.250
Cl2 0.250 0.250 0.750
Cl3 0.250 0.750 0.250
Cl4 0.250 0.750 0.750
Cl5 0.750 0.250 0.250
Cl6 0.750 0.250 0.750
Cl7 0.750 0.750 0.250
Cl8 0.750 0.750 0.750
```

---

Computed, not measured: a relaxed CsZnC3 crystal at the GGA-PBE level of DFT.

Output
The value obtained for the density of states at the Fermi level is 4.87 states/eV/f.u. As for the calculated formation energy: 404.5 kJ per mole of atoms. As for the total magnetization: 1.9 Bohr magnetons per cell. The total energy is -1.7672 eV/atom. As for the space group: Pm-3m.

```
data_CsZnC3
_chemical_formula_sum 'Cs1 Zn1 C3'
_cell_length_a 4.667
_cell_length_b 4.667
_cell_length_c 4.667
_cell_angle_alpha 90.00
_cell_angle_beta 90.00
_cell_angle_gamma 90.00
_symmetry_space_group_name_H-M 'P 1'
_symmetry_Int_Tables_number 1
loop_
_symmetry_equiv_pos_as_xyz
'x,y,z'
loop_
_atom_site_label
_atom_site_fract_x
_atom_site_fract_y
_atom_site_fract_z
Cs1 0.000 0.000 0.000
Zn1 0.500 0.500 0.500
C1 0.000 0.000 0.500
C2 0.000 0.500 0.000
C3 0.500 0.000 0.000
```

---

Computed, not measured: a relaxed La2TaNi crystal at the GGA-PBE level of DFT.

Output
The value obtained for the density of states at the Fermi level is 6.09 states/eV/f.u. As for the calculated formation energy: 51.6 kJ per mole of atoms. As for the total magnetization: 0.0 Bohr magnetons per cell. The total energy is -6.3378 eV/atom. As for the space group: I-42d. The calculation puts the energy above the lowest structure with this stoichiometry at 44.9 kJ/mol of atoms.

```
data_La2TaNi
_chemical_formula_sum 'La8 Ta4 Ni4'
_cell_length_a 8.046
_cell_length_b 8.046
_cell_length_c 6.002
_cell_angle_alpha 90.00
_cell_angle_beta 90.00
_cell_angle_gamma 90.00
_symmetry_space_group_name_H-M 'P 1'
_symmetry_Int_Tables_number 1
loop_
_symmetry_equiv_pos_as_xyz
'x,y,z'
loop_
_atom_site_label
_atom_site_fract_x
_atom_site_fract_y
_atom_site_fract_z
La1 0.206 0.250 0.125
La2 0.250 0.706 0.375
La3 0.250 0.794 0.875
La4 0.294 0.250 0.625
La5 0.706 0.750 0.625
La6 0.750 0.206 0.875
La7 0.750 0.294 0.375
La8 0.794 0.750 0.125
Ta1 0.000 0.000 0.500
Ta2 0.000 0.500 0.750
Ta3 0.500 0.000 0.250
Ta4 0.500 0.500 0.000
Ni1 0.000 0.000 0.000
Ni2 0.000 0.500 0.250
Ni3 0.500 0.000 0.750
Ni4 0.500 0.500 0.500
```

---

Computed, not measured: a relaxed TcAg crystal at the GGA-PBE level of DFT.

Output
The value obtained for the density of states at the Fermi level is 2.15 states/eV/f.u. As for the calculated formation energy: 227.0 kJ per mole of atoms. As for the total magnetization: 14.4 Bohr magnetons per cell. The total energy is -4.2564 eV/atom. As for the space group: F-43m. The calculation puts the energy above the lowest structure with this stoichiometry at 210.3 kJ/mol of atoms.

```
data_TcAg
_chemical_formula_sum 'Tc4 Ag4'
_cell_length_a 6.071
_cell_length_b 6.071
_cell_length_c 6.071
_cell_angle_alpha 90.00
_cell_angle_beta 90.00
_cell_angle_gamma 90.00
_symmetry_space_group_name_H-M 'P 1'
_symmetry_Int_Tables_number 1
loop_
_symmetry_equiv_pos_as_xyz
'x,y,z'
loop_
_atom_site_label
_atom_site_fract_x
_atom_site_fract_y
_atom_site_fract_z
Tc1 0.000 0.000 0.000
Tc2 0.000 0.500 0.500
Tc3 0.500 0.000 0.500
Tc4 0.500 0.500 0.000
Ag1 0.250 0.250 0.250
Ag2 0.250 0.750 0.750
Ag3 0.750 0.250 0.750
Ag4 0.750 0.750 0.250
```

---

Computed, not measured: a relaxed Rb2YRh crystal at the GGA-PBE level of DFT.

Output
The value obtained for the density of states at the Fermi level is 2.58 states/eV/f.u. As for the calculated formation energy: 40.5 kJ per mole of atoms. As for the total magnetization: 0.0 Bohr magnetons per cell. The total energy is -3.5176 eV/atom. As for the space group: I-42d. The calculation puts the energy above the lowest structure with this stoichiometry at 0.0 kJ/mol of atoms.

```
data_Rb2YRh
_chemical_formula_sum 'Rb8 Y4 Rh4'
_cell_length_a 13.239
_cell_length_b 13.239
_cell_length_c 5.065
_cell_angle_alpha 90.00
_cell_angle_beta 90.00
_cell_angle_gamma 90.00
_symmetry_space_group_name_H-M 'P 1'
_symmetry_Int_Tables_number 1
loop_
_symmetry_equiv_pos_as_xyz
'x,y,z'
loop_
_atom_site_label
_atom_site_fract_x
_atom_site_fract_y
_atom_site_fract_z
Rb1 0.096 0.750 0.125
Rb2 0.250 0.096 0.875
Rb3 0.250 0.404 0.375
Rb4 0.404 0.750 0.625
Rb5 0.596 0.250 0.625
Rb6 0.750 0.596 0.375
Rb7 0.750 0.904 0.875
Rb8 0.904 0.250 0.125
Y1 0.000 0.000 0.500
Y2 0.000 0.500 0.750
Y3 0.500 0.000 0.250
Y4 0.500 0.500 0.000
Rh1 0.000 0.000 0.000
Rh2 0.000 0.500 0.250
Rh3 0.500 0.000 0.750
Rh4 0.500 0.500 0.500
```

---

Computed, not measured: a relaxed V2Cr3Mo2 crystal at the GGA-PBE level of DFT.

Output
The value obtained for the density of states at the Fermi level is 5.65 states/eV/f.u. As for the calculated formation energy: 22.9 kJ per mole of atoms. As for the total magnetization: 0.0 Bohr magnetons per cell. The total energy is -9.5866 eV/atom. As for the space group: Cm.

```
data_V2Cr3Mo2
_chemical_formula_sum 'V4 Cr6 Mo4'
_cell_length_a 10.492
_cell_length_b 2.918
_cell_length_c 7.042
_cell_angle_alpha 90.00
_cell_angle_beta 116.88
_cell_angle_gamma 90.00
_symmetry_space_group_name_H-M 'P 1'
_symmetry_Int_Tables_number 1
loop_
_symmetry_equiv_pos_as_xyz
'x,y,z'
loop_
_atom_site_label
_atom_site_fract_x
_atom_site_fract_y
_atom_site_fract_z
V1 0.000 0.000 0.000
V2 0.037 0.000 0.460
V3 0.500 0.500 0.000
V4 0.537 0.500 0.460
Cr1 0.161 0.500 0.877
Cr2 0.273 0.000 0.722
Cr3 0.427 0.000 0.624
Cr4 0.661 0.000 0.877
Cr5 0.773 0.500 0.722
Cr6 0.927 0.500 0.624
Mo1 0.200 0.500 0.331
Mo2 0.348 0.000 0.163
Mo3 0.700 0.000 0.331
Mo4 0.848 0.500 0.163
```

---

Computed, not measured: a relaxed TbPm4Rh2 crystal at the GGA-PBE level of DFT.

Output
The value obtained for the density of states at the Fermi level is 8.09 states/eV/f.u. As for the calculated formation energy: -37.3 kJ per mole of atoms. As for the total magnetization: 0.0 Bohr magnetons per cell. The total energy is -5.8636 eV/atom. As for the space group: P2_1/m.

```
data_TbPm4Rh2
_chemical_formula_sum 'Tb2 Pm8 Rh4'
_cell_length_a 8.002
_cell_length_b 6.500
_cell_length_c 8.077
_cell_angle_alpha 90.00
_cell_angle_beta 113.78
_cell_angle_gamma 90.00
_symmetry_space_group_name_H-M 'P 1'
_symmetry_Int_Tables_number 1
loop_
_symmetry_equiv_pos_as_xyz
'x,y,z'
loop_
_atom_site_label
_atom_site_fract_x
_atom_site_fract_y
_atom_site_fract_z
Tb1 0.155 0.250 0.031
Tb2 0.845 0.750 0.969
Pm1 0.016 0.250 0.380
Pm2 0.250 0.750 0.339
Pm3 0.413 0.005 0.769
Pm4 0.413 0.495 0.769
Pm5 0.587 0.505 0.231
Pm6 0.587 0.995 0.231
Pm7 0.750 0.250 0.661
Pm8 0.984 0.750 0.620
Rh1 0.231 0.750 0.990
Rh2 0.370 0.250 0.406
Rh3 0.630 0.750 0.594
Rh4 0.769 0.250 0.010
```

---

Computed, not measured: a relaxed HfRuPt2 crystal at the GGA-PBE level of DFT.

Output
The value obtained for the density of states at the Fermi level is 3.77 states/eV/f.u. As for the calculated formation energy: -39.4 kJ per mole of atoms. As for the total magnetization: 0.0 Bohr magnetons per cell. The total energy is -8.2361 eV/atom. As for the space group: Fm-3m.

```
data_HfRuPt2
_chemical_formula_sum 'Hf4 Ru4 Pt8'
_cell_length_a 6.439
_cell_length_b 6.439
_cell_length_c 6.439
_cell_angle_alpha 90.00
_cell_angle_beta 90.00
_cell_angle_gamma 90.00
_symmetry_space_group_name_H-M 'P 1'
_symmetry_Int_Tables_number 1
loop_
_symmetry_equiv_pos_as_xyz
'x,y,z'
loop_
_atom_site_label
_atom_site_fract_x
_atom_site_fract_y
_atom_site_fract_z
Hf1 0.000 0.000 0.000
Hf2 0.000 0.500 0.500
Hf3 0.500 0.000 0.500
Hf4 0.500 0.500 0.000
Ru1 0.000 0.000 0.500
Ru2 0.000 0.500 0.000
Ru3 0.500 0.000 0.000
Ru4 0.500 0.500 0.500
Pt1 0.250 0.250 0.250
Pt2 0.250 0.250 0.750
Pt3 0.250 0.750 0.250
Pt4 0.250 0.750 0.750
Pt5 0.750 0.250 0.250
Pt6 0.750 0.250 0.750
Pt7 0.750 0.750 0.250
Pt8 0.750 0.750 0.750
```

---

Computed, not measured: a relaxed FeTc2Au crystal at the GGA-PBE level of DFT.

Output
The value obtained for the density of states at the Fermi level is 3.54 states/eV/f.u. As for the calculated formation energy: 21.3 kJ per mole of atoms. As for the total magnetization: 1.7 Bohr magnetons per cell. The total energy is -7.8971 eV/atom. As for the space group: Pmmm. The calculation puts the energy above the lowest structure with this stoichiometry at 2.6 kJ/mol of atoms.

```
data_FeTc2Au
_chemical_formula_sum 'Fe1 Tc2 Au1'
_cell_length_a 2.751
_cell_length_b 3.863
_cell_length_c 5.536
_cell_angle_alpha 90.00
_cell_angle_beta 90.00
_cell_angle_gamma 90.00
_symmetry_space_group_name_H-M 'P 1'
_symmetry_Int_Tables_number 1
loop_
_symmetry_equiv_pos_as_xyz
'x,y,z'
loop_
_atom_site_label
_atom_site_fract_x
_atom_site_fract_y
_atom_site_fract_z
Fe1 0.000 0.000 0.000
Tc1 0.500 0.500 0.213
Tc2 0.500 0.500 0.787
Au1 0.000 0.000 0.500
```